Material: Li5Cd2Hg4
Method: DFT, GGA-PBE
State: relaxed

Calculated values
Space-group type: C2/m
ΔE to the lowest computed polymorph: 0.089 eV/atom
Spin magnetization: 0.000 Bohr magnetons per cell

a = 10.543 Å, b = 10.543 Å, c = 7.041 Å
α = 94.09°, β = 94.09°, γ = 16.94°
Fractional positions:
Li 0.000 0.000 0.000
Li 0.320 0.320 0.514
Li 0.366 0.366 0.972
Li 0.634 0.634 0.028
Li 0.680 0.680 0.486
Cd 0.235 0.235 0.814
Cd 0.765 0.765 0.186
Hg 0.089 0.089 0.708
Hg 0.449 0.449 0.686
Hg 0.551 0.551 0.314
Hg 0.911 0.911 0.292

Material: Ba3SmEr3Se8
Method: DFT, GGA-PBE
State: relaxed

Calculated values
Space-group type: R-3m
Uncorrected formation energy: -2765.6 kJ/mol of formula units
Spin magnetization: 0.000 Bohr magnetons per cell

a = 8.941 Å, b = 8.941 Å, c = 8.941 Å
α = 56.10°, β = 56.10°, γ = 56.10°
Fractional positions:
Ba 0.000 0.500 0.500
Ba 0.500 0.000 0.500
Ba 0.500 0.500 0.000
Sm 0.500 0.500 0.500
Er 0.000 0.000 0.500
Er 0.000 0.500 0.000
Er 0.500 0.000 0.000
Se 0.228 0.742 0.742
Se 0.237 0.237 0.237
Se 0.258 0.258 0.772
Se 0.258 0.772 0.258
Se 0.742 0.228 0.742
Se 0.742 0.742 0.228
Se 0.763 0.763 0.763
Se 0.772 0.258 0.258